No. 1
## K2BaCr (PBE)

Data for an optimized crystal structure of K2BaCr.

abc: 6.4756 6.4756 6.4756
angles: 120.11 119.98 89.92
Last column: nearest neighbours and their distance in Å.
Fractional coordinates of all 4 atoms:
Ba 0.5003 0.5003 0.0000  4 Cr 3.96-3.97, 4 K 3.96-3.97
K 0.2500 0.7500 0.5000  4 Ba 3.96-3.97, 4 K 3.96-3.97
K 0.9996 0.9996 0.0000  4 Cr 3.96-3.97, 4 K 3.96-3.97
Cr 0.7501 0.2501 0.5000  4 K 3.96-3.97, 4 Ba 3.96-3.97

Properties
**Energy of formation**: 0.64 eV/atom
**Magnetization**: 4.91 μB per formula unit
**Crystal system**: orthorhombic
**SG**: No. 44

No. 2
## Tb4AgPt (PBE)

Data for an optimized crystal structure of Tb4AgPt.

abc: 9.6245 9.6245 9.6245
angles: 60.00 60.00 60.00
Last column: nearest neighbours and their distance in Å.
Fractional coordinates of all 24 atoms:
Tb 0.1852 0.8148 0.1852  2 Ag 3.22, 2 Pt 3.50, 6 Tb 3.50-3.56
Tb 0.9393 0.5607 0.5607  2 Pt 2.85
Tb 0.8172 0.3943 0.3943  3 Pt 2.88
Pt 0.6055 0.6055 0.1835  6 Tb 2.85-2.88
Pt 0.6055 0.1835 0.6055  6 Tb 2.85-2.88
Tb 0.8148 0.1852 0.8148  2 Ag 3.22, 2 Pt 3.50, 6 Tb 3.50-3.56
Tb 0.8148 0.8148 0.1852  2 Ag 3.22, 2 Pt 3.50, 6 Tb 3.50-3.56
Tb 0.3943 0.3943 0.3943  3 Pt 2.88
Tb 0.8148 0.1852 0.1852  2 Ag 3.22, 2 Pt 3.50, 6 Tb 3.50-3.56
Pt 0.6055 0.6055 0.6055  6 Tb 2.85-2.88
Pt 0.1835 0.6055 0.6055  6 Tb 2.85-2.88
Ag 0.4999 0.1667 0.1667  3 Ag 3.21, 9 Tb 3.22-3.49
Tb 0.5607 0.9393 0.5607  2 Pt 2.85
Tb 0.5607 0.9393 0.9393  2 Pt 2.85
Ag 0.1667 0.1667 0.4999  3 Ag 3.21, 9 Tb 3.22-3.49
Tb 0.3943 0.3943 0.8172  3 Pt 2.88
Tb 0.1852 0.1852 0.8148  2 Ag 3.22, 2 Pt 3.50, 6 Tb 3.50-3.56
Tb 0.5607 0.5607 0.9393  2 Pt 2.85
Ag 0.1667 0.4999 0.1667  3 Ag 3.21, 9 Tb 3.22-3.49
Tb 0.3943 0.8172 0.3943  3 Pt 2.88
Tb 0.9393 0.9393 0.5607  2 Pt 2.85
Tb 0.9393 0.5607 0.9393  2 Pt 2.85
Ag 0.1667 0.1667 0.1667  3 Ag 3.21, 9 Tb 3.22-3.49
Tb 0.1852 0.8148 0.8148  2 Ag 3.22, 2 Pt 3.50, 6 Tb 3.50-3.56

Properties
**Energy of formation**: -0.58 eV/atom
**Magnetization**: 0.00 μB per formula unit
**Crystal system**: cubic
**SG**: No. 216

No. 3
## Ag2OsBr (PBE)

Data for an optimized crystal structure of Ag2OsBr.

abc: 6.9988 6.9988 6.9988
angles: 156.00 141.63 45.77
Last column: nearest neighbours and their distance in Å.
Fractional coordinates of all 4 atoms:
Os 0.7311 0.2311 0.5000  2 Br 2.50, 4 Ag 2.79
Br 0.5731 0.5731 0.0000  2 Os 2.50
Ag 0.9170 0.9170 0.0000  2 Os 2.80, 4 Ag 2.91
Ag 0.2789 0.7789 0.5000  4 Os 2.79, 4 Ag 2.91

Properties
**DFT total energy**: -15.77 eV for the cell shown
**Magnetization**: 0.00 μB per formula unit
**Crystal system**: orthorhombic
**SG**: No. 44

No. 4
## Cs12H3Au5 (PBE)

Data for an optimized crystal structure of Cs12H3Au5.

abc: 17.9999 17.9999 17.9999
angles: 109.47 109.47 109.47
Last column: nearest neighbours and their distance in Å.
Fractional coordinates of all 80 atoms:
Cs 0.0675 0.8931 0.1240  2 Au 3.40-3.57, 1 H 3.57
Au 0.5000 0.5000 0.0000  6 Cs 3.57
Cs 0.8256 0.9325 0.0565  2 Au 3.40-3.57, 1 H 3.57
Cs 0.6744 0.2309 0.6069  2 Au 3.40-3.57, 1 H 3.57
Cs 0.9435 0.5675 0.1744  2 Au 3.40-3.57, 1 H 3.57
Cs 0.4435 0.6744 0.0675  2 Au 3.40-3.57, 1 H 3.57
Cs 0.9325 0.8256 0.5565  2 Au 3.40-3.57, 1 H 3.57
Cs 0.5675 0.9435 0.6744  2 Au 3.40-3.57, 1 H 3.57
Au 0.1250 0.3750 0.2500  4 Cs 3.40
Cs 0.6240 0.5675 0.8931  2 Au 3.40-3.57, 1 H 3.57
Cs 0.7309 0.6069 0.1744  2 Au 3.40-3.57, 1 H 3.57
H 0.6250 0.3750 0.7500  4 Cs 3.57
Cs 0.3256 0.7691 0.3931  2 Au 3.40-3.57, 1 H 3.57
Cs 0.2309 0.5565 0.6240  2 Au 3.40-3.57, 1 H 3.57
Cs 0.2309 0.6744 0.1069  2 Au 3.40-3.57, 1 H 3.57
Cs 0.5565 0.3256 0.9325  2 Au 3.40-3.57, 1 H 3.57
Au 0.0000 0.0000 0.0000  6 Cs 3.57
Cs 0.2691 0.8760 0.9435  2 Au 3.40-3.57, 1 H 3.57
Cs 0.3931 0.2691 0.3256  2 Au 3.40-3.57, 1 H 3.57
Au 0.5000 0.0000 0.5000  6 Cs 3.57
Cs 0.5675 0.6240 0.3931  2 Au 3.40-3.57, 1 H 3.57
Au 0.8750 0.2500 0.6250  4 Cs 3.40
Cs 0.3760 0.9435 0.7691  2 Au 3.40-3.57, 1 H 3.57
Cs 0.4325 0.3760 0.6069  2 Au 3.40-3.57, 1 H 3.57
Cs 0.7309 0.1240 0.0565  2 Au 3.40-3.57, 1 H 3.57
Cs 0.6744 0.4435 0.5675  2 Au 3.40-3.57, 1 H 3.57
Cs 0.1069 0.1744 0.2309  2 Au 3.40-3.57, 1 H 3.57
Cs 0.6069 0.8760 0.4325  2 Au 3.40-3.57, 1 H 3.57
Cs 0.8931 0.0675 0.6240  2 Au 3.40-3.57, 1 H 3.57
Au 0.7500 0.6250 0.3750  4 Cs 3.40
Cs 0.1069 0.9325 0.3760  2 Au 3.40-3.57, 1 H 3.57
Cs 0.8256 0.8931 0.2691  2 Au 3.40-3.57, 1 H 3.57
Au 0.7500 0.1250 0.8750  4 Cs 3.40
Au 0.6250 0.7500 0.8750  4 Cs 3.40
Cs 0.8760 0.2691 0.4435  2 Au 3.40-3.57, 1 H 3.57
H 0.3750 0.7500 0.6250  4 Cs 3.57
Au 0.6250 0.8750 0.2500  4 Cs 3.40
Cs 0.8760 0.6069 0.9325  2 Au 3.40-3.57, 1 H 3.57
Cs 0.9435 0.3760 0.2691  2 Au 3.40-3.57, 1 H 3.57
Cs 0.9325 0.1069 0.8760  2 Au 3.40-3.57, 1 H 3.57
Cs 0.7691 0.4435 0.3760  2 Au 3.40-3.57, 1 H 3.57
H 0.6250 0.2500 0.3750  4 Cs 3.57
Cs 0.4325 0.0565 0.3256  2 Au 3.40-3.57, 1 H 3.57
Au 0.1250 0.7500 0.3750  4 Cs 3.40
Au 0.2500 0.3750 0.6250  4 Cs 3.40
Au 0.0000 0.5000 0.0000  6 Cs 3.57
Au 0.0000 0.0000 0.5000  6 Cs 3.57
H 0.2500 0.6250 0.8750  4 Cs 3.57
Au 0.8750 0.6250 0.7500  4 Cs 3.40
H 0.1250 0.2500 0.8750  4 Cs 3.57
Au 0.2500 0.8750 0.1250  4 Cs 3.40
H 0.3750 0.6250 0.2500  4 Cs 3.57
Au 0.3750 0.2500 0.1250  4 Cs 3.40
Cs 0.8931 0.8256 0.7691  2 Au 3.40-3.57, 1 H 3.57
Cs 0.0675 0.1744 0.4435  2 Au 3.40-3.57, 1 H 3.57
Cs 0.1240 0.7309 0.5565  2 Au 3.40-3.57, 1 H 3.57
Cs 0.1240 0.3931 0.0675  2 Au 3.40-3.57, 1 H 3.57
H 0.8750 0.7500 0.1250  4 Cs 3.57
Cs 0.3256 0.5565 0.4325  2 Au 3.40-3.57, 1 H 3.57
Cs 0.0565 0.4325 0.8256  2 Au 3.40-3.57, 1 H 3.57
Cs 0.2691 0.3931 0.8256  2 Au 3.40-3.57, 1 H 3.57
Cs 0.5565 0.2309 0.1240  2 Au 3.40-3.57, 1 H 3.57
Cs 0.1744 0.0675 0.9435  2 Au 3.40-3.57, 1 H 3.57
H 0.7500 0.3750 0.1250  4 Cs 3.57
Cs 0.3760 0.4325 0.1069  2 Au 3.40-3.57, 1 H 3.57
Au 0.5000 0.0000 0.0000  6 Cs 3.57
H 0.2500 0.1250 0.3750  4 Cs 3.57
H 0.1250 0.8750 0.7500  4 Cs 3.57
Cs 0.6069 0.7309 0.6744  2 Au 3.40-3.57, 1 H 3.57
Cs 0.1744 0.1069 0.7309  2 Au 3.40-3.57, 1 H 3.57
Cs 0.3931 0.1240 0.5675  2 Au 3.40-3.57, 1 H 3.57
Au 0.5000 0.5000 0.5000  6 Cs 3.57
Cs 0.6240 0.0565 0.2309  2 Au 3.40-3.57, 1 H 3.57
Cs 0.0565 0.6240 0.7309  2 Au 3.40-3.57, 1 H 3.57
Au 0.3750 0.1250 0.7500  4 Cs 3.40
Cs 0.7691 0.3256 0.8931  2 Au 3.40-3.57, 1 H 3.57
Cs 0.4435 0.7691 0.8760  2 Au 3.40-3.57, 1 H 3.57
H 0.8750 0.1250 0.2500  4 Cs 3.57
H 0.7500 0.8750 0.6250  4 Cs 3.57
Au 0.0000 0.5000 0.5000  6 Cs 3.57

Properties
**DFT total energy**: -150.23 eV for the cell shown
**Magnetization**: 1.27 μB per formula unit
**Crystal system**: cubic
**SG**: No. 230

No. 5
## BaTaRe2 (PBE)

Data for an optimized crystal structure of BaTaRe2.

abc: 5.5102 5.5102 2.7703
angles: 90.00 90.00 103.66
Last column: nearest neighbours and their distance in Å.
Fractional coordinates of all 4 atoms:
Ta 0.5000 0.0000 0.5000  2 Ta 2.77, 8 Re 3.08
Re 0.0000 0.0000 0.0000  2 Re 2.77, 4 Ba 3.08, 4 Ta 3.08
Ba 0.0000 0.5000 0.5000  2 Ba 2.77, 8 Re 3.08
Re 0.5000 0.5000 0.0000  2 Re 2.77, 4 Ta 3.08, 4 Ba 3.08

Properties
**Energy of formation**: 1.41 eV/atom
**Magnetization**: 0.00 μB per formula unit
**Crystal system**: orthorhombic
**SG**: No. 65

No. 6
## CaHfSe2 (PBE)

Data for an optimized crystal structure of CaHfSe2.

abc: 8.7481 8.7481 8.7481
angles: 26.76 26.76 26.76
Last column: nearest neighbours and their distance in Å.
Fractional coordinates of all 4 atoms:
Se 0.0991 0.0991 0.0991  1 Hf 2.51
Ca 0.5000 0.5000 0.5000  6 Se 2.90
Se 0.9009 0.9009 0.9009  1 Hf 2.51
Hf 0.0000 0.0000 0.0000  2 Se 2.51

Properties
**DFT total energy**: -22.42 eV for the cell shown
**Magnetization**: 0.00 μB per formula unit
**Crystal system**: trigonal
**SG**: No. 166

No. 7
## MnFe2W (PBE)

Data for an optimized crystal structure of MnFe2W.

abc: 4.0450 4.0450 3.0567
angles: 90.00 90.00 90.00
Last column: nearest neighbours and their distance in Å.
Fractional coordinates of all 4 atoms:
W 0.0000 0.5000 0.5000  8 Fe 2.54
Fe 0.5000 0.5000 0.0000  4 Mn 2.54, 4 W 2.54
Mn 0.5000 0.0000 0.5000  8 Fe 2.54
Fe 0.0000 0.0000 0.0000  4 Mn 2.54, 4 W 2.54

Properties
**Energy of formation**: 0.07 eV/atom
**Magnetization**: 4.76 μB per formula unit
**Crystal system**: tetragonal
**SG**: No. 123

No. 8
## RbBaSbI2 (PBE)

Data for an optimized crystal structure of RbBaSbI2.

abc: 6.4467 6.4467 6.3123
angles: 90.00 90.00 90.00
Last column: nearest neighbours and their distance in Å.
Fractional coordinates of all 5 atoms:
I 0.5000 0.0000 0.0000  2 Rb 3.22
Rb 0.0000 0.0000 0.0000  2 Sb 3.16, 4 I 3.22
Ba 0.5000 0.5000 0.5000  8 I 4.51, 4 Sb 4.56
Sb 0.0000 0.0000 0.5000  2 Rb 3.16
I 0.0000 0.5000 0.0000  2 Rb 3.22

Properties
**DFT total energy**: -12.26 eV for the cell shown
**Magnetization**: 1.02 μB per formula unit
**Crystal system**: tetragonal
**SG**: No. 123

No. 9
## TaZn2WSe (PBE)

Data for an optimized crystal structure of TaZn2WSe.

abc: 4.8731 4.6666 4.8731
angles: 90.00 90.00 90.00
Last column: nearest neighbours and their distance in Å.
Fractional coordinates of all 5 atoms:
Zn 0.0000 0.0000 0.5000  2 W 2.44
Se 0.0000 0.5000 0.0000  2 W 2.33
W 0.0000 0.0000 0.0000  2 Se 2.33, 4 Zn 2.44
Ta 0.5000 0.5000 0.5000  8 Zn 3.37, 4 Se 3.45
Zn 0.5000 0.0000 0.0000  2 W 2.44

Properties
**DFT total energy**: -23.89 eV for the cell shown
**Magnetization**: 2.47 μB per formula unit
**Crystal system**: tetragonal
**SG**: No. 123

No. 10
## LaCd3Hg3 (PBE)

Data for an optimized crystal structure of LaCd3Hg3.

abc: 6.0774 6.0774 6.0774
angles: 90.00 90.00 90.00
Last column: nearest neighbours and their distance in Å.
Fractional coordinates of all 7 atoms:
Cd 0.0000 0.0000 0.5000  4 Hg 3.04
Hg 0.5000 0.5000 0.0000  2 La 3.04, 4 Cd 3.04
Cd 0.0000 0.5000 0.0000  4 Hg 3.04
Hg 0.5000 0.0000 0.5000  2 La 3.04, 4 Cd 3.04
Hg 0.0000 0.5000 0.5000  4 Cd 3.04, 2 La 3.04
Cd 0.5000 0.0000 0.0000  4 Hg 3.04
La 0.5000 0.5000 0.5000  6 Hg 3.04

Properties
**Energy of formation**: 0.09 eV/atom
**Magnetization**: 0.95 μB per formula unit
**Crystal system**: cubic
**SG**: No. 221

No. 11
## LaDyTlCd (PBE)

Data for an optimized crystal structure of LaDyTlCd.

abc: 5.4783 5.4783 5.4783
angles: 60.00 60.00 60.00
Last column: nearest neighbours and their distance in Å.
Fractional coordinates of all 4 atoms:
Dy 0.5000 0.5000 0.5000  4 Cd 3.35, 4 Tl 3.35
Tl 0.2500 0.2500 0.2500  4 Dy 3.35, 4 La 3.35
La 0.0000 0.0000 0.0000  4 Tl 3.35, 4 Cd 3.35
Cd 0.7500 0.7500 0.7500  4 Dy 3.35, 4 La 3.35

Properties
**Energy of formation**: -0.36 eV/atom
**Magnetization**: 0.01 μB per formula unit
**Crystal system**: cubic
**SG**: No. 216

No. 12
## Cs3TeCl6 (PBE)

Data for an optimized crystal structure of Cs3TeCl6.

abc: 9.5965 9.5965 9.5965
angles: 96.95 96.95 96.95
Last column: nearest neighbours and their distance in Å.
Fractional coordinates of all 20 atoms:
Cl 0.7255 0.0527 0.9514  1 Te 2.74
Cs 0.9104 0.7255 0.4107  6 Cl 3.50-3.58
Cl 0.7681 0.4299 0.5563  1 Te 2.75
Cl 0.5701 0.4437 0.2319  1 Te 2.75
Cs 0.0896 0.2745 0.5893  6 Cl 3.50-3.58
Te 0.0000 0.0000 0.0000  6 Cl 2.74
Cl 0.0486 0.2745 0.9473  1 Te 2.74
Cs 0.4107 0.9104 0.7255  6 Cl 3.50-3.58
Cl 0.5563 0.7681 0.4299  1 Te 2.75
Te 0.5000 0.5000 0.5000  6 Cl 2.75
Cs 0.2745 0.5893 0.0896  6 Cl 3.50-3.58
Cl 0.4299 0.5563 0.7681  1 Te 2.75
Cl 0.9473 0.0486 0.2745  1 Te 2.74
Cl 0.2319 0.5701 0.4437  1 Te 2.75
Cl 0.9514 0.7255 0.0527  1 Te 2.74
Cl 0.4437 0.2319 0.5701  1 Te 2.75
Cs 0.5893 0.0896 0.2745  6 Cl 3.50-3.58
Cl 0.0527 0.9514 0.7255  1 Te 2.74
Cl 0.2745 0.9473 0.0486  1 Te 2.74
Cs 0.7255 0.4107 0.9104  6 Cl 3.50-3.58

Properties
**DFT total energy**: -60.47 eV for the cell shown
**Magnetization**: 0.96 μB per formula unit
**Crystal system**: trigonal
**SG**: No. 148